1.
{
  "formula": "CdCuH8Cl4O4",
  "functional": "PBE-GGA",
  "state": "relaxed",
  "magmom_total_mub_per_cell": 1.0,
  "dft_energy_ev_per_atom": -4.237,
  "lattice_angstrom": [[-2.7447, 1.1224, -2.7345], [-3.7003, -5.9067, -1.6130], [-6.5032, 2.3346, 5.3562]],
  "species": ["H", "H", "H", "H", "H", "H", "H", "H", "Cu", "Cd", "Cl", "Cl", "Cl", "Cl", "O", "O", "O", "O"],
  "frac_coords": [[0.8684, 0.6615, 0.8892], [0.4014, 0.5905, 0.7567], [0.6525, 0.6428, 0.0574], [0.2494, 0.4321, 0.6977], [0.1316, 0.3385, 0.1108], [0.5986, 0.4095, 0.2433], [0.7506, 0.5679, 0.3023], [0.3475, 0.3572, 0.9426], [0.5000, 0.0000, 0.0000], [0.0000, 0.0000, 0.5000], [0.0699, 0.9528, 0.1939], [0.6264, 0.7436, 0.5191], [0.9301, 0.0472, 0.8061], [0.3736, 0.2564, 0.4809], [0.7522, 0.4929, 0.2084], [0.2478, 0.5071, 0.7916], [0.6406, 0.7181, 0.9589], [0.3594, 0.2819, 0.0411]]
}



2.
{
  "formula": "HfCdCu2Cl",
  "functional": "PBE-GGA",
  "state": "relaxed",
  "raw_formation_energy_ev_per_atom": 0.879,
  "magmom_total_mub_per_cell": 0.0,
  "lattice_angstrom": [[-0.4329, 4.6325, 0.9869], [-5.1528, -0.7800, 1.4009], [1.3452, -0.8300, 4.4858]],
  "species": ["Cu", "Cu", "Cd", "Cl", "Hf"],
  "frac_coords": [[0.5000, 0.0000, 0.0000], [0.0000, 0.0000, 0.5000], [0.0000, 0.0000, 0.0000], [0.5000, 0.5000, 0.5000], [0.0000, 0.5000, 0.0000]]
}



3.
{
  "formula": "CdCuI2Cl",
  "functional": "PBE-GGA",
  "state": "relaxed",
  "de_polymorph_ev_per_fu": 0.717,
  "raw_formation_energy_ev_per_atom": 0.233,
  "magmom_total_mub_per_cell": 0.0,
  "lattice_angstrom": [[6.4790, 0.0000, 0.0000], [0.0000, 4.1932, 0.0000], [0.0000, 0.0000, 6.4790]],
  "species": ["Cl", "Cu", "I", "I", "Cd"],
  "frac_coords": [[0.0000, 0.0000, 0.0000], [0.0000, 0.5000, 0.0000], [0.0000, 0.0000, 0.5000], [0.5000, 0.0000, 0.0000], [0.5000, 0.5000, 0.5000]]
}